Record 1
The following is a PBE-GGA calculation of a geometry-optimized Ho5BiSb4 structure, from Alexandria via LeMat-Bulk.

Results
electronic total energy = -5.383 eV/atom
formation energy without anion corrections = -1020 kJ/mol of formula units
SG = I4/m

Geometry as extended XYZ:
```
10
Lattice="-4.903 4.903 3.101 4.903 -4.903 3.101 4.903 4.903 -3.101" Properties=species:S:1:pos:R:3 pbc="T T T"
Ho 0.000 0.000 0.000
Ho 5.892 1.923 0.000
Ho 1.923 3.915 0.000
Ho 2.980 0.989 3.101
Ho -0.989 2.980 3.101
Bi 0.000 0.000 3.101
Sb 2.937 0.994 0.000
Sb 3.910 -1.966 3.101
Sb 0.994 6.869 0.000
Sb 1.966 3.910 3.101
```

Record 2
The following is a PBE-GGA calculation of a geometry-optimized Ho4Bi2Sb structure, from Alexandria via LeMat-Bulk.

Results
electronic total energy = -5.102 eV/atom
formation energy without anion corrections = -533 kJ/mol of formula units
SG = I-42d
polymorph energy (0 for the lowest one) = 0 meV/atom

Geometry as extended XYZ:
```
14
Lattice="-4.627 4.627 4.670 4.627 -4.627 4.670 4.627 4.627 -4.670" Properties=species:S:1:pos:R:3 pbc="T T T"
Ho 3.957 2.955 -1.896
Ho 6.300 0.670 0.439
Ho 0.670 2.955 -0.439
Ho 0.670 1.673 2.774
Ho 1.673 -0.670 6.566
Ho 3.957 1.673 4.231
Ho 2.955 5.298 1.896
Ho -1.673 3.957 5.110
Bi 2.314 -1.116 3.503
Bi 3.512 2.314 1.168
Bi 2.314 5.743 -1.168
Bi 1.116 2.314 5.838
Sb 0.000 0.000 0.000
Sb 0.000 4.627 2.335
```

Record 3
The following is a PBE-GGA calculation of a geometry-optimized Ho3BiSb2 structure, from Alexandria via LeMat-Bulk.

Results
electronic total energy = -5.330 eV/atom
formation energy without anion corrections = -590 kJ/mol of formula units
SG = C2/c

Geometry as extended XYZ:
```
12
Lattice="3.811 -6.596 0.000 3.811 6.596 0.000 -2.534 0.000 7.174" Properties=species:S:1:pos:R:3 pbc="T T T"
Ho 1.905 3.298 0.000
Ho 0.591 1.126 3.576
Ho -0.676 -1.126 7.163
Ho 0.638 -3.298 3.587
Ho 5.763 1.126 0.011
Ho 4.496 -1.126 3.598
Bi 3.177 1.078 1.794
Bi 1.910 -1.078 5.381
Sb 3.177 5.494 1.794
Sb 1.910 3.275 5.381
Sb 3.177 -3.275 1.794
Sb 1.910 -5.494 5.381
```